PtRhI2 PBE optimized geometry; excess energy over the best structure of this formula in the dataset = 0 meV per atom; DOS(E_F) = 22.91 states/eV per cell; energy = -0.1373 Ha/atom; formation energy from raw total energies = 1.55 eV/f.u.; space group = I-42d
1.0
6.120 0.000 0.000
0.000 6.120 0.000
0.000 0.000 11.994
Pt Rh I
4 4 8
Direct
0.000 0.000 0.000
0.000 0.500 0.250
0.500 0.000 0.750
0.500 0.500 0.500
0.000 0.000 0.500
0.000 0.500 0.750
0.500 0.000 0.250
0.500 0.500 0.000
0.242 0.250 0.625
0.250 0.742 0.875
0.250 0.758 0.375
0.258 0.250 0.125
0.742 0.750 0.125
0.750 0.242 0.375
0.750 0.258 0.875
0.758 0.750 0.625